An optimized crystal structure of Na2Tl3In3. Source: Alexandria via LeMat-Bulk, functional PBE.

ΔE_f: -41 kJ/mol of formula units
Final energy: -36.8 eV for the cell shown

a b c (Å): 5.3526 5.4714 15.5589
angles (deg): 90.00 90.00 90.00
Element x y z (fractional)
Na (0.0000, 0.0000, 0.2482)
Na (0.0000, 0.0000, 0.7518)
Na (0.5000, 0.5000, 0.2518)
Na (0.5000, 0.5000, 0.7482)
Tl (0.0000, 0.0000, 0.5000)
Tl (0.0000, 0.5000, 0.1245)
Tl (0.0000, 0.5000, 0.8755)
Tl (0.5000, 0.0000, 0.3755)
Tl (0.5000, 0.0000, 0.6245)
Tl (0.5000, 0.5000, 0.0000)
In (0.0000, 0.0000, 0.0000)
In (0.0000, 0.5000, 0.3837)
In (0.0000, 0.5000, 0.6163)
In (0.5000, 0.0000, 0.1163)
In (0.5000, 0.0000, 0.8837)
In (0.5000, 0.5000, 0.5000)